Record 1
Ba3PuU2S9 after structural relaxation. Source: Alexandria via LeMat-Bulk, functional PBE.

The structure belongs to space group P-3m1 (No. 164); the cell edges are 7.4194, 7.4194 and 9.0847 Å and the angles 90.00°, 90.00° and 120.00°. The distinct sites, in fractional coordinates, are Ba at (0.0000, 0.0000, 0.0000), Ba at (0.3333, 0.6667, 0.6537), Pu at (0.0000, 0.0000, 0.5000), U at (0.3333, 0.6667, 0.1678), S at (0.0000, 0.5000, 0.0000) and S at (0.1688, 0.3377, 0.3313).

Record 2
Ba2PuUS6 after structural relaxation. Source: Alexandria via LeMat-Bulk, functional PBE.

The structure belongs to space group P2_1/c (No. 14); the cell edges are 7.243, 7.480 and 12.646 Å and the angles 90.00°, 124.88° and 90.00°. The distinct sites, in fractional coordinates, are Ba at (0.235, 0.058, 0.250), Pu at (0.500, 0.000, 0.000), U at (0.000, 0.000, 0.500), S at (0.157, 0.212, 0.955), S at (0.247, 0.702, 0.957) and S at (0.328, 0.020, 0.745).

Record 3
Ba2PuZnS5 after structural relaxation. Source: Alexandria via LeMat-Bulk, functional PBE.

The structure belongs to space group Cmc2_1 (No. 36); the cell edges are 4.138, 18.074 and 12.855 Å and the angles 90.00°, 90.00° and 90.00°. The distinct sites, in fractional coordinates, are Ba at (0.000, 0.113, 0.000), Ba at (0.000, 0.124, 0.632), Pu at (0.000, 0.203, 0.330), Zn at (0.000, 0.441, 0.749), S at (0.000, 0.054, 0.346), S at (0.000, 0.293, 0.967), S at (0.000, 0.309, 0.691), S at (0.000, 0.348, 0.319) and S at (0.000, 0.500, 0.091).

Record 4
Ba2PuSb2 after structural relaxation. Source: Alexandria via LeMat-Bulk, functional PBE.

The structure belongs to space group Ibam (No. 72); the cell edges are 8.677, 14.106 and 6.839 Å and the angles 90.00°, 90.00° and 90.00°. The distinct sites, in fractional coordinates, are Ba at (0.152, 0.144, 0.000), Pu at (0.000, 0.500, 0.250) and Sb at (0.243, 0.386, 0.000).

Record 5
Ba2PuSb3 after structural relaxation. Source: Alexandria via LeMat-Bulk, functional PBE.

The structure belongs to space group Immm (No. 71); the cell edges are 4.732, 6.719 and 14.746 Å and the angles 90.00°, 90.00° and 90.00°. The distinct sites, in fractional coordinates, are Ba at (0.000, 0.000, 0.176), Pu at (0.000, 0.000, 0.500), Sb at (0.000, 0.500, 0.136) and Sb at (0.000, 0.500, 0.500).

Record 6
BaPu4Se8 after structural relaxation. Source: Alexandria via LeMat-Bulk, functional PBE.

The structure belongs to space group Pm-3m (No. 221); the cell edges are 7.197, 7.197 and 7.197 Å and the angles 90.00°, 90.00° and 90.00°. The distinct sites, in fractional coordinates, are Ba at (0.000, 0.000, 0.000), Pu at (0.000, 0.500, 0.500), Pu at (0.500, 0.500, 0.500) and Se at (0.266, 0.266, 0.266).

no.,magnetic moment (Bohr magnetons per cell),uncorrected formation energy (eV per formula unit)
1,8.0,-25.3
2,12.0,-17.6
3,16.0,-14.3
4,24.0,-4.0
5,8.0,-4.2
6,9.2,-17.3